[1]
Tb3ErRh2 PBE-GGA relaxed; magnetization = 0.0000 μB per atom; energy above the most stable polymorph in this dataset = 0.000 eV/atom; energy of formation = -0.57 eV per atom
1.0
6.7071 0.0000 0.0000
0.0000 7.0995 0.0000
-3.3536 -3.5497 6.7723
Rh Tb Er
4 6 2
Cartesian
-1.4278 3.5497 4.9100 Rh
4.7814 0.0000 1.8623 Rh
1.4278 0.0000 4.9100 Rh
1.9257 3.5497 1.8623 Rh
0.0000 5.3246 3.1305 Tb
3.3536 5.3246 0.0000 Tb
3.3536 1.7749 3.6418 Tb
3.3536 1.7749 0.0000 Tb
3.3536 -1.7749 3.6418 Tb
0.0000 1.7749 3.1305 Tb
0.0000 0.0000 0.0000 Er
0.0000 3.5497 0.0000 Er

---

[2]
NbReC2 PBE-GGA relaxed; magnetization = 0.0000 μB per atom; energy above the most stable polymorph in this dataset = 0.000 eV/atom; energy of formation = 0.37 eV per atom
1.0
-3.4252 1.8422 2.6690
2.5932 -0.7753 3.8631
1.5687 4.8876 2.8076
Nb C Re
2 4 2
Cartesian
-0.4160 0.5335 3.2660 Nb
1.8730 2.3229 4.9684 Nb
1.6692 0.9222 3.3841 C
0.8006 4.0849 4.4600 C
-1.5089 2.3218 2.9187 C
0.5125 4.5801 7.9165 C
0.0000 0.0000 0.0000 Re
-1.1363 3.6316 4.3713 Re

---

[3]
Ca2CuSn PBE-GGA relaxed; magnetization = 0.0000 μB per atom; energy of formation = -0.06 eV per atom
1.0
8.2263 0.0000 0.0000
0.0000 8.2263 0.0000
4.1132 4.1132 3.3040
Sn Cu Ca
2 2 4
Cartesian
0.0000 0.0000 0.0000 Sn
8.2263 4.1132 1.6520 Sn
4.1132 4.1132 0.0000 Cu
4.1132 8.2263 1.6520 Cu
6.1697 6.4530 2.4780 Ca
2.3399 6.1697 0.8260 Ca
5.8864 2.0566 0.8260 Ca
10.2829 9.9996 2.4780 Ca

---

[4]
UCdAu2 PBE-GGA relaxed; magnetization = 0.7423 μB per atom; energy of formation = -0.15 eV per atom
1.0
3.2146 0.0000 0.0000
0.0000 3.2146 0.0000
0.0000 0.0000 8.0923
Cd Au U
1 2 1
Cartesian
1.6073 1.6073 0.0000 Cd
0.0000 0.0000 6.1608 Au
0.0000 0.0000 1.9315 Au
1.6073 1.6073 4.0461 U